1.
## YAgHg2 (meta-GGA SCAN)

Data for a crystal of YAgHg2 relaxed with PBEsol.

Output
Energy of formation from the pure elements   -0.359 eV per atom
Space-group type   P4/mmm, No. 123
Theoretical density   11.4 g/cm3

Lattice parameters (Å, degrees): 4.3937 4.4609 4.4609 90.00 90.00 90.00
Atoms (fractional coordinates):
Hg 0.0000 0.5000 0.0000
Hg 0.0000 0.0000 0.5000
Ag 0.5000 0.0000 0.0000
Y 0.5000 0.5000 0.5000

***

2.
## PC7 (meta-GGA SCAN)

Data for a crystal of PC7 relaxed with PBEsol.

Output
Energy of formation from the pure elements   4.233 eV per atom
Space-group type   Fm-3m, No. 225
Theoretical density   3.1 g/cm3

Lattice parameters (Å, degrees): 4.4261 4.4261 4.4261 60.00 60.00 60.00
Atoms (fractional coordinates):
C 0.0000 0.5000 0.5000
C 0.0000 0.0000 0.5000
C 0.0000 0.5000 0.0000
C 0.5000 0.0000 0.5000
C 0.5000 0.5000 0.5000
C 0.5000 0.5000 0.0000
C 0.5000 0.0000 0.0000
P 0.0000 0.0000 0.0000

***

3.
## Na3OsSe (meta-GGA SCAN)

Data for a crystal of Na3OsSe relaxed with PBEsol.

Output
E   -1.498 Ry/atom
Space-group type   Pm-3m, No. 221
Theoretical density   3.6 g/cm3

Lattice parameters (Å, degrees): 5.3599 5.3599 5.3599 90.00 90.00 90.00
Each line ends with the local moment (μB).
Atoms (fractional coordinates):
Na 0.0000 0.5000 0.0000  0.00
Na 0.5000 0.0000 0.0000  0.00
Na 0.0000 0.0000 0.5000  0.00
Se 0.0000 0.0000 0.0000  0.01
Os 0.5000 0.5000 0.5000  2.41